[1]
Computed, not measured: a geometry-optimized Pm5Co2Hg2 structure at the PBE level of DFT.

Cell: 7.7088 7.4365 8.9581 Å, 114.52 90.00 90.00°
Fractional positions:
Pm: 0.0000 0.0000 0.0000
Pm: 0.5000 0.5000 0.0000
Pm: 0.8191 0.7993 0.2412
Pm: 0.1809 0.4419 0.2412
Pm: 0.3191 0.9419 0.2412
Pm: 0.6809 0.2993 0.2412
Pm: 0.1809 0.2007 0.7588
Pm: 0.8191 0.5581 0.7588
Pm: 0.6809 0.0581 0.7588
Pm: 0.3191 0.7007 0.7588
Co: 0.6112 0.8920 0.0000
Co: 0.3888 0.1080 0.0000
Co: 0.1112 0.6080 0.0000
Co: 0.8888 0.3920 0.0000
Hg: 0.0000 0.2195 0.4389
Hg: 0.5000 0.7195 0.4389
Hg: 0.0000 0.7805 0.5611
Hg: 0.5000 0.2805 0.5611

V = 467 Å³ per cell
total magnetic moment = 0.00 μB/atom
E = -4.527 eV/atom
SG = Cmce (64)
theoretical density = 8.8 g/cm3

---

[2]
Computed, not measured: a geometry-optimized Y4Ga2Hg structure at the PBE level of DFT.

Cell: 5.0897 5.0897 8.7502 Å, 73.09 73.09 60.00°
Fractional positions:
Y: 0.8709 0.8709 0.3874
Y: 0.1291 0.1291 0.6126
Y: 0.6187 0.6187 0.1438
Y: 0.3813 0.3813 0.8562
Hg: 0.0000 0.0000 0.0000
Ga: 0.7506 0.7506 0.7481
Ga: 0.2494 0.2494 0.2519

V = 185 Å³ per cell
energy relative to the lowest polymorph listed for this composition = 0.0 meV per atom
total magnetic moment = 0.00 μB/atom
SG = R-3m (166)
theoretical density = 6.2 g/cm3

---

Look up the V of the second one. 185 Å³ per cell

---

Among the records above, which one has the lowest V? Y4Ga2Hg

---

What did the first record say?
Computed, not measured: a geometry-optimized Pm5Co2Hg2 structure at the PBE level of DFT.

Cell: 7.7088 7.4365 8.9581 Å, 114.52 90.00 90.00°
Fractional positions:
Pm: 0.0000 0.0000 0.0000
Pm: 0.5000 0.5000 0.0000
Pm: 0.8191 0.7993 0.2412
Pm: 0.1809 0.4419 0.2412
Pm: 0.3191 0.9419 0.2412
Pm: 0.6809 0.2993 0.2412
Pm: 0.1809 0.2007 0.7588
Pm: 0.8191 0.5581 0.7588
Pm: 0.6809 0.0581 0.7588
Pm: 0.3191 0.7007 0.7588
Co: 0.6112 0.8920 0.0000
Co: 0.3888 0.1080 0.0000
Co: 0.1112 0.6080 0.0000
Co: 0.8888 0.3920 0.0000
Hg: 0.0000 0.2195 0.4389
Hg: 0.5000 0.7195 0.4389
Hg: 0.0000 0.7805 0.5611
Hg: 0.5000 0.2805 0.5611

V = 467 Å³ per cell
total magnetic moment = 0.00 μB/atom
E = -4.527 eV/atom
SG = Cmce (64)
theoretical density = 8.8 g/cm3

---

Copy entry 1 word for word.
Computed, not measured: a geometry-optimized Pm5Co2Hg2 structure at the PBE level of DFT.

Cell: 7.7088 7.4365 8.9581 Å, 114.52 90.00 90.00°
Fractional positions:
Pm: 0.0000 0.0000 0.0000
Pm: 0.5000 0.5000 0.0000
Pm: 0.8191 0.7993 0.2412
Pm: 0.1809 0.4419 0.2412
Pm: 0.3191 0.9419 0.2412
Pm: 0.6809 0.2993 0.2412
Pm: 0.1809 0.2007 0.7588
Pm: 0.8191 0.5581 0.7588
Pm: 0.6809 0.0581 0.7588
Pm: 0.3191 0.7007 0.7588
Co: 0.6112 0.8920 0.0000
Co: 0.3888 0.1080 0.0000
Co: 0.1112 0.6080 0.0000
Co: 0.8888 0.3920 0.0000
Hg: 0.0000 0.2195 0.4389
Hg: 0.5000 0.7195 0.4389
Hg: 0.0000 0.7805 0.5611
Hg: 0.5000 0.2805 0.5611

V = 467 Å³ per cell
total magnetic moment = 0.00 μB/atom
E = -4.527 eV/atom
SG = Cmce (64)
theoretical density = 8.8 g/cm3